Entry 1:
Density functional theory data (PBE) for LiNd3Zn2 after structural relaxation.

The structure in POSCAR format:
```
LiNd3Zn2
1.0
5.2476 0.0000 0.0000
-2.6238 4.5446 0.0000
0.0000 0.0000 12.8804
Li Nd Zn
2 6 4
Cartesian
0.0000 3.0297 8.6316 Li
2.6238 1.5149 4.2489 Li
0.0000 3.0297 5.3811 Nd
2.6238 1.5149 1.0056 Nd
0.0000 0.0000 9.7277 Nd
0.0000 0.0000 3.1528 Nd
0.0000 3.0297 11.8748 Nd
2.6238 1.5149 7.4993 Nd
0.0000 0.0000 6.4402 Zn
0.0000 3.0297 2.2257 Zn
2.6238 1.5149 10.6547 Zn
0.0000 0.0000 0.0000 Zn
```

Results
E_form: -0.187 eV/atom
DOS(E_F): 6.61 states/eV/f.u.

=====

Entry 2:
Density functional theory data (PBE) for Pm7Pr2Dy2 after structural relaxation.

The structure in POSCAR format:
```
Pm7Pr2Dy2
1.0
8.7313 -1.2191 -0.0065
-1.9835 5.5271 1.7637
-1.0275 1.2191 8.6707
Pm Pr Dy
7 2 2
Cartesian
3.1734 0.5744 0.7623 Pm
-1.5976 4.9527 5.0044 Pm
2.5469 4.9527 9.6655 Pm
7.3178 0.5744 5.4234 Pm
3.9146 1.7834 4.2764 Pm
0.0000 0.0000 0.0000 Pm
1.8057 3.7437 6.1514 Pm
-0.5064 5.4094 8.2073 Pr
6.2267 0.1177 2.2205 Pr
5.0234 2.7635 7.6469 Dy
0.6969 2.7636 2.7810 Dy
```

Results
E_form: 0.138 eV/atom
Excess energy over the best structure of this formula in the dataset: 40 meV/atom
DOS(E_F): 16.27 states/eV/f.u.

=====

Entry 3:
Density functional theory data (PBE) for Nd2SbPPt6 after structural relaxation.

The structure in POSCAR format:
```
Nd2SbPPt6
1.0
-1.2175 -5.2768 -1.5259
1.9562 -2.7606 7.9855
-8.0977 1.1771 2.3906
Nd Sb P Pt
4 2 2 12
Cartesian
-1.1745 -4.3940 5.7596 Nd
-5.5623 0.1702 3.8496 Nd
-5.2369 -3.8035 6.9589 Nd
-1.5269 -0.4164 2.6583 Nd
-2.6611 -1.3699 6.8605 Sb
-0.0403 -3.4406 1.5574 Sb
-4.1867 -2.7145 2.3549 P
1.4853 -2.0960 6.0630 P
-2.4286 -2.6652 0.7817 Pt
-6.4263 -2.0841 1.9619 Pt
-0.2728 -2.1452 7.6362 Pt
-4.3728 -1.5492 8.8466 Pt
-2.3944 -3.4778 8.8016 Pt
-3.0091 -6.1420 8.0312 Pt
-3.4650 -2.0278 4.4614 Pt
-4.0585 -4.6004 3.7174 Pt
0.1396 -5.4868 3.1745 Pt
0.7636 -2.7827 3.9565 Pt
-0.3070 -1.3327 -0.3837 Pt
-0.9098 -3.9452 -1.1392 Pt
```

Results
E_form (uncorrected): -20.060 kcal/mol of atoms
DOS(E_F): 3.94 states/eV/f.u.

=====

Entry 4:
Density functional theory data (PBE) for CuHg3F4 after structural relaxation.

The structure in POSCAR format:
```
CuHg3F4
1.0
-3.2089 0.5029 1.7444
-3.2726 0.1554 -6.0650
-1.4779 -11.2009 0.5104
Cu Hg F
2 6 8
Cartesian
-3.4330 0.4940 0.9012 Cu
-5.0348 -5.2407 -4.2886 Cu
-4.7978 0.5204 -2.4719 Hg
-5.7585 -1.9908 -2.4164 Hg
-2.9104 -2.7244 -0.8617 Hg
-2.9661 -5.3774 -1.2981 Hg
-3.5938 -7.9044 -0.6257 Hg
-6.5529 -8.0117 -2.1420 Hg
-4.1568 0.3161 -5.1002 F
-2.8247 0.3293 -0.9513 F
-3.6986 -1.3943 0.9594 F
-4.7713 -3.3520 -4.3457 F
-3.1567 -5.4657 -3.7877 F
-3.6316 -5.1692 1.3435 F
-5.2698 -7.1304 -4.1736 F
-4.6779 -8.8168 1.2977 F
```

Results
E_form (uncorrected): -25.596 kcal/mol of atoms
DOS(E_F): 0.38 states/eV/f.u.